(1)
Here is a relaxed structure of Y4Cr5 from Alexandria. Energies are from PBE-GGA.

```
data_Y4Cr5
_chemical_formula_sum 'Y8 Cr10'
_cell_length_a 9.2847
_cell_length_b 9.2847
_cell_length_c 4.5832
_cell_angle_alpha 90.00
_cell_angle_beta 90.00
_cell_angle_gamma 90.00
_space_group_name_H-M_alt 'I 4/m m m'
_space_group_IT_number 139
_space_group_name_Hall '-I 4 2'
loop_
_atom_site_label
_atom_site_type_symbol
_atom_site_fract_x
_atom_site_fract_y
_atom_site_fract_z
Y1 Y 0.0000 0.2956 0.0000
Cr1 Cr 0.0000 0.0000 0.0000
Cr2 Cr 0.1579 0.1579 0.5000
```

Results
Volume (Å³ per cell): 395.1


(2)
Here is a relaxed structure of Y4Cr5 from Alexandria. Energies are from PBE-GGA.

```
data_Y4Cr5
_chemical_formula_sum 'Y8 Cr10'
_cell_length_a 8.7511
_cell_length_b 8.7511
_cell_length_c 6.1306
_cell_angle_alpha 90.00
_cell_angle_beta 90.00
_cell_angle_gamma 120.00
_space_group_name_H-M_alt 'P 63/m c m'
_space_group_IT_number 193
_space_group_name_Hall '-P 6c 2'
loop_
_atom_site_label
_atom_site_type_symbol
_atom_site_fract_x
_atom_site_fract_y
_atom_site_fract_z
Y1 Y 0.0000 0.0000 0.0000
Y2 Y 0.0000 0.3698 0.2500
Cr1 Cr 0.0000 0.3060 0.7500
Cr2 Cr 0.3333 0.6667 0.0000
```

Results
Volume (Å³ per cell): 406.6


Energy above the most stable structure, in meV per atom: (1) 0; (2) 28


(1)
Here is a relaxed structure of YZrCr2 from Alexandria. Energies are from PBE-GGA.

```
data_YZrCr2
_chemical_formula_sum 'Y1 Zr1 Cr2'
_cell_length_a 3.1457
_cell_length_b 3.7954
_cell_length_c 6.7203
_cell_angle_alpha 90.00
_cell_angle_beta 101.13
_cell_angle_gamma 90.00
_space_group_name_H-M_alt 'P 1 m 1'
_space_group_IT_number 6
_space_group_name_Hall 'P -2y'
loop_
_atom_site_label
_atom_site_type_symbol
_atom_site_fract_x
_atom_site_fract_y
_atom_site_fract_z
Y1 Y 0.0000 0.0000 0.0000
Zr1 Zr 0.6632 0.5000 0.3611
Cr1 Cr 0.1568 0.0000 0.5820
Cr2 Cr 0.4565 0.5000 0.7250
```

Results
Volume (Å³ per cell): 78.7


(2)
Here is a relaxed structure of YZrCr2 from Alexandria. Energies are from PBE-GGA.

```
data_YZrCr2
_chemical_formula_sum 'Y2 Zr2 Cr4'
_cell_length_a 9.1547
_cell_length_b 3.1948
_cell_length_c 5.8566
_cell_angle_alpha 90.00
_cell_angle_beta 100.39
_cell_angle_gamma 90.00
_space_group_name_H-M_alt 'C 1 2/m 1'
_space_group_IT_number 12
_space_group_name_Hall '-C 2y'
loop_
_atom_site_label
_atom_site_type_symbol
_atom_site_fract_x
_atom_site_fract_y
_atom_site_fract_z
Y1 Y 0.0000 0.0000 0.0000
Zr1 Zr 0.0000 0.5000 0.5000
Cr1 Cr 0.2433 0.0000 0.7066
```

Results
Volume (Å³ per cell): 168.5


(3)
Here is a relaxed structure of YZrCr2 from Alexandria. Energies are from PBE-GGA.

```
data_YZrCr2
_chemical_formula_sum 'Y3 Zr3 Cr6'
_cell_length_a 3.2313
_cell_length_b 3.2313
_cell_length_c 27.5526
_cell_angle_alpha 90.00
_cell_angle_beta 90.00
_cell_angle_gamma 120.00
_space_group_name_H-M_alt 'R -3 m'
_space_group_IT_number 166
_space_group_name_Hall '-R 3 2"'
loop_
_atom_site_label
_atom_site_type_symbol
_atom_site_fract_x
_atom_site_fract_y
_atom_site_fract_z
Y1 Y 0.0000 0.0000 0.0000
Zr1 Zr 0.0000 0.0000 0.5000
Cr1 Cr 0.0000 0.0000 0.2450
```

Results
Volume (Å³ per cell): 249.1


(4)
Here is a relaxed structure of YZrCr2 from Alexandria. Energies are from PBE-GGA.

```
data_YZrCr2
_chemical_formula_sum 'Y4 Zr4 Cr8'
_cell_length_a 6.8223
_cell_length_b 6.8223
_cell_length_c 6.8223
_cell_angle_alpha 90.00
_cell_angle_beta 90.00
_cell_angle_gamma 90.00
_space_group_name_H-M_alt 'F -4 3 m'
_space_group_IT_number 216
_space_group_name_Hall 'F -4 2 3'
loop_
_atom_site_label
_atom_site_type_symbol
_atom_site_fract_x
_atom_site_fract_y
_atom_site_fract_z
Y1 Y 0.0000 0.0000 0.0000
Zr1 Zr 0.2500 0.2500 0.2500
Cr1 Cr 0.0000 0.0000 0.5000
Cr2 Cr 0.2500 0.2500 0.7500
```

Results
Volume (Å³ per cell): 317.5


Energy above the most stable structure, in meV per atom: (1) 0; (2) 238; (3) 264; (4) 149


(1)
Here is a relaxed structure of YZrCr2 from Alexandria. Energies are from PBE-GGA.

```
data_YZrCr2
_chemical_formula_sum 'Y4 Zr4 Cr8'
_cell_length_a 6.7896
_cell_length_b 6.7896
_cell_length_c 6.7896
_cell_angle_alpha 90.00
_cell_angle_beta 90.00
_cell_angle_gamma 90.00
_space_group_name_H-M_alt 'F m -3 m'
_space_group_IT_number 225
_space_group_name_Hall '-F 4 2 3'
loop_
_atom_site_label
_atom_site_type_symbol
_atom_site_fract_x
_atom_site_fract_y
_atom_site_fract_z
Y1 Y 0.0000 0.0000 0.0000
Zr1 Zr 0.0000 0.0000 0.5000
Cr1 Cr 0.2500 0.2500 0.2500
```

Results
Volume (Å³ per cell): 313.0


(2)
Here is a relaxed structure of YZrCr2 from Alexandria. Energies are from PBE-GGA.

```
data_YZrCr2
_chemical_formula_sum 'Y1 Zr1 Cr2'
_cell_length_a 3.0709
_cell_length_b 3.0709
_cell_length_c 8.1338
_cell_angle_alpha 90.00
_cell_angle_beta 90.00
_cell_angle_gamma 90.00
_space_group_name_H-M_alt 'P 4 m m'
_space_group_IT_number 99
_space_group_name_Hall 'P 4 -2'
loop_
_atom_site_label
_atom_site_type_symbol
_atom_site_fract_x
_atom_site_fract_y
_atom_site_fract_z
Y1 Y 0.0000 0.0000 0.0000
Zr1 Zr 0.5000 0.5000 0.3606
Cr1 Cr 0.0000 0.0000 0.5920
Cr2 Cr 0.5000 0.5000 0.7324
```

Results
Volume (Å³ per cell): 76.7


Energy above the most stable structure, in meV per atom: (1) 104; (2) 0


(1)
Here is a relaxed structure of YZrCr2 from Alexandria. Energies are from PBE-GGA.

```
data_YZrCr2
_chemical_formula_sum 'Y1 Zr1 Cr2'
_cell_length_a 3.2067
_cell_length_b 4.3320
_cell_length_c 6.0436
_cell_angle_alpha 90.00
_cell_angle_beta 90.00
_cell_angle_gamma 90.00
_space_group_name_H-M_alt 'P m m 2'
_space_group_IT_number 25
_space_group_name_Hall 'P 2 -2'
loop_
_atom_site_label
_atom_site_type_symbol
_atom_site_fract_x
_atom_site_fract_y
_atom_site_fract_z
Y1 Y 0.0000 0.0000 0.0000
Zr1 Zr 0.5000 0.5000 0.3297
Cr1 Cr 0.0000 0.0000 0.5024
Cr2 Cr 0.5000 0.5000 0.7790
```

Results
Volume (Å³ per cell): 84.0


(2)
Here is a relaxed structure of YZrCr2 from Alexandria. Energies are from PBE-GGA.

```
data_YZrCr2
_chemical_formula_sum 'Y1 Zr1 Cr2'
_cell_length_a 3.3950
_cell_length_b 3.3950
_cell_length_c 6.7848
_cell_angle_alpha 90.00
_cell_angle_beta 90.00
_cell_angle_gamma 90.00
_space_group_name_H-M_alt 'P 4/m m m'
_space_group_IT_number 123
_space_group_name_Hall '-P 4 2'
loop_
_atom_site_label
_atom_site_type_symbol
_atom_site_fract_x
_atom_site_fract_y
_atom_site_fract_z
Y1 Y 0.0000 0.0000 0.0000
Zr1 Zr 0.0000 0.0000 0.5000
Cr1 Cr 0.5000 0.5000 0.2801
```

Results
Volume (Å³ per cell): 78.2


Energy above the most stable structure, in meV per atom: (1) 264; (2) 0


(1)
Here is a relaxed structure of YZr2Cr from Alexandria. Energies are from PBE-GGA.

```
data_YZr2Cr
_chemical_formula_sum 'Y2 Zr4 Cr2'
_cell_length_a 11.3493
_cell_length_b 3.5063
_cell_length_c 4.9549
_cell_angle_alpha 90.00
_cell_angle_beta 115.87
_cell_angle_gamma 90.00
_space_group_name_H-M_alt 'C 1 m 1'
_space_group_IT_number 8
_space_group_name_Hall 'C -2y'
loop_
_atom_site_label
_atom_site_type_symbol
_atom_site_fract_x
_atom_site_fract_y
_atom_site_fract_z
Y1 Y 0.0000 0.0000 0.0000
Zr1 Zr 0.2175 0.0000 0.7174
Zr2 Zr 0.4238 0.0000 0.4239
Cr1 Cr 0.2340 0.5000 0.2329
```

Results
Volume (Å³ per cell): 177.4


(2)
Here is a relaxed structure of YZr2Cr from Alexandria. Energies are from PBE-GGA.

```
data_YZr2Cr
_chemical_formula_sum 'Y1 Zr2 Cr1'
_cell_length_a 3.2810
_cell_length_b 3.2810
_cell_length_c 8.3250
_cell_angle_alpha 90.00
_cell_angle_beta 90.00
_cell_angle_gamma 90.00
_space_group_name_H-M_alt 'P 4/m m m'
_space_group_IT_number 123
_space_group_name_Hall '-P 4 2'
loop_
_atom_site_label
_atom_site_type_symbol
_atom_site_fract_x
_atom_site_fract_y
_atom_site_fract_z
Y1 Y 0.0000 0.0000 0.0000
Zr1 Zr 0.5000 0.5000 0.3146
Cr1 Cr 0.0000 0.0000 0.5000
```

Results
Volume (Å³ per cell): 89.6


Energy above the most stable structure, in meV per atom: (1) 63; (2) 0


(1)
Here is a relaxed structure of YZrCr from Alexandria. Energies are from PBE-GGA.

```
data_YZrCr
_chemical_formula_sum 'Y1 Zr1 Cr1'
_cell_length_a 4.8723
_cell_length_b 4.8723
_cell_length_c 3.3394
_cell_angle_alpha 90.00
_cell_angle_beta 90.00
_cell_angle_gamma 120.00
_space_group_name_H-M_alt 'P 3 m 1'
_space_group_IT_number 156
_space_group_name_Hall 'P 3 -2"'
loop_
_atom_site_label
_atom_site_type_symbol
_atom_site_fract_x
_atom_site_fract_y
_atom_site_fract_z
Y1 Y 0.0000 0.0000 0.0000
Zr1 Zr 0.6667 0.3333 0.4948
Cr1 Cr 0.3333 0.6667 0.5130
```

Results
Volume (Å³ per cell): 68.7


(2)
Here is a relaxed structure of YZrCr from Alexandria. Energies are from PBE-GGA.

```
data_YZrCr
_chemical_formula_sum 'Y2 Zr2 Cr2'
_cell_length_a 3.4627
_cell_length_b 3.4627
_cell_length_c 11.0916
_cell_angle_alpha 90.00
_cell_angle_beta 90.00
_cell_angle_gamma 90.00
_space_group_name_H-M_alt 'I 4 m m'
_space_group_IT_number 107
_space_group_name_Hall 'I 4 -2'
loop_
_atom_site_label
_atom_site_type_symbol
_atom_site_fract_x
_atom_site_fract_y
_atom_site_fract_z
Y1 Y 0.0000 0.0000 0.0000
Zr1 Zr 0.0000 0.0000 0.2845
Cr1 Cr 0.0000 0.0000 0.6762
```

Results
Volume (Å³ per cell): 133.0


Energy above the most stable structure, in meV per atom: (1) 97; (2) 0